1.
Entry from Alexandria via LeMat-Bulk: crystalline CeGaPt at its relaxed geometry (PBE).

The structure in CIF format:
```
data_CeGaPt
_chemical_formula_sum 'Ce4 Ga4 Pt4'
_symmetry_space_group_name_H-M 'P n m a'
_symmetry_Int_Tables_number 62
_symmetry_space_group_name_Hall '-P 2ac 2n'
_cell_length_a 7.050
_cell_length_b 4.462
_cell_length_c 7.842
_cell_angle_alpha 90.00
_cell_angle_beta 90.00
_cell_angle_gamma 90.00
loop_
_atom_site_label
_atom_site_type_symbol
_atom_site_fract_x
_atom_site_fract_y
_atom_site_fract_z
Ce1 Ce 0.015 0.250 0.203
Ga1 Ga 0.174 0.250 0.578
Pt1 Pt 0.226 0.750 0.406
```

Values from the calculation:
Fermi-level density of states in states/eV per atom: 1.51
Magnetic moment in Bohr magnetons per cell: 2.541
DFT formation energy in eV/atom: -1.019
Calculated total energy in eV per atom: -6.020

---

2.
Entry from Alexandria via LeMat-Bulk: crystalline ZnSb at its relaxed geometry (PBE).

The structure in CIF format:
```
data_ZnSb
_chemical_formula_sum 'Zn3 Sb3'
_symmetry_space_group_name_H-M 'R -3 m'
_symmetry_Int_Tables_number 166
_symmetry_space_group_name_Hall '-R 3 2"'
_cell_length_a 3.9283
_cell_length_b 3.9283
_cell_length_c 10.2292
_cell_angle_alpha 90.00
_cell_angle_beta 90.00
_cell_angle_gamma 120.00
loop_
_atom_site_label
_atom_site_type_symbol
_atom_site_fract_x
_atom_site_fract_y
_atom_site_fract_z
Zn1 Zn 0.0000 0.0000 0.0000
Sb1 Sb 0.0000 0.0000 0.5000
```

Values from the calculation:
Fermi-level density of states in states/eV per atom: 0.47
Magnetic moment in Bohr magnetons per cell: 0.000
Formation energy without anion corrections in meV/atom: 109.5
Calculated total energy in eV per atom: -2.589